# 1
Below is MgSc5Tl3 after structural relaxation, with properties calculated at the PBE level.

Calculated values
Total moment in μB/f.u.: 0.3
Volume in Å³/cell: 415.7
Total energy in eV per atom: -4.760

a b c (Å): 6.2297 8.7777 8.7773
angles (deg): 120.00 90.00 90.00
Site moments in Bohr magnetons follow the coordinates.
Fractional positions:
Sc  0.7500  0.6867  0.6867  0.03
Sc  0.5000  0.3333  0.6667  0.06
Sc  0.0000  0.6667  0.3333  0.06
Sc  0.2500  0.0000  0.6867  0.03
Sc  0.5000  0.6667  0.3333  0.06
Sc  0.2500  0.6867  0.0000  0.03
Sc  0.0000  0.3333  0.6667  0.06
Sc  0.2500  0.3133  0.3133  0.03
Sc  0.7500  0.3133  0.0000  0.03
Sc  0.7500  0.0000  0.3133  0.03
Tl  0.2500  0.6479  0.6479  0.00
Tl  0.2500  0.3521  0.0000  0.00
Tl  0.2500  0.0000  0.3521  0.00
Tl  0.7500  0.0000  0.6479  0.00
Tl  0.7500  0.3521  0.3521  0.00
Tl  0.7500  0.6479  0.0000  0.00
Mg  0.0000  0.0000  0.0000  0.00
Mg  0.5000  0.0000  0.0000  0.00

# 2
Below is MnIrPt3 after structural relaxation, with properties calculated at the PBE level.

Calculated values
Total moment in μB/f.u.: 6.0
Volume in Å³/cell: 113.6
ΔE to the lowest computed polymorph in kJ per mole of atoms: 0.0

a b c (Å): 4.8430 4.8430 4.8430
angles (deg): 90.00 90.00 90.00
Site moments in Bohr magnetons follow the coordinates.
Fractional positions:
Mn  0.5000  0.5000  0.5000  4.46
Pt  0.0000  0.5000  0.0000  0.14
Pt  0.0000  0.0000  0.5000  0.40
Pt  0.5000  0.0000  0.0000  0.09
Ir  0.0000  0.0000  0.0000  0.58

# 3
Below is AlZn2In after structural relaxation, with properties calculated at the PBE level.

Calculated values
Total moment in μB/f.u.: 0.0
Volume in Å³/cell: 73.9
ΔE to the lowest computed polymorph in kJ per mole of atoms: 4.5

a b c (Å): 6.5345 5.0930 3.0172
angles (deg): 88.79 64.61 120.97
Fractional positions:
Zn  0.5000  0.0000  0.5000
Zn  0.0000  0.0000  0.0000
In  0.5000  0.5000  0.0000
Al  0.0000  0.5000  0.5000